1.
Computed, not measured: crystalline La2Al3ZnHg4 at its relaxed geometry at the PBE level of DFT.

Geometry as extended XYZ:
```
10
Lattice="4.5566 0.0000 0.0000 0.0000 4.5566 0.0000 0.0000 0.0000 11.0907" Properties=species:S:1:pos:R:3 pbc="T T T"
La 0.0000 2.2783 2.7737
La 2.2783 0.0000 8.3169
Al 0.0000 0.0000 0.0000
Al 0.0000 2.2783 7.0490
Al 2.2783 0.0000 4.0417
Zn 2.2783 2.2783 0.0000
Hg 0.0000 0.0000 5.5453
Hg 0.0000 2.2783 9.6258
Hg 2.2783 0.0000 1.4649
Hg 2.2783 2.2783 5.5453
```

DFT formation energy = -366 meV/atom
Space-group type = No. 115
Calculated total energy = -2.7219 eV per atom
M_tot = 0.00 Bohr magnetons per cell


2.
Computed, not measured: crystalline La2Al4ZnHg3 at its relaxed geometry at the PBE level of DFT.

Geometry as extended XYZ:
```
10
Lattice="4.4786 0.0000 0.0000 0.0000 4.4786 0.0000 0.0000 0.0000 11.1349" Properties=species:S:1:pos:R:3 pbc="T T T"
La 0.0000 2.2393 2.7006
La 2.2393 0.0000 8.4343
Al 0.0000 0.0000 5.5674
Al 0.0000 2.2393 9.6955
Al 2.2393 0.0000 1.4393
Al 2.2393 2.2393 5.5674
Zn 2.2393 2.2393 0.0000
Hg 0.0000 0.0000 0.0000
Hg 0.0000 2.2393 7.1020
Hg 2.2393 0.0000 4.0329
```

DFT formation energy = -390 meV/atom
Space-group type = No. 115
Calculated total energy = -3.0907 eV per atom
M_tot = 0.00 Bohr magnetons per cell


3.
Computed, not measured: crystalline La4AlZn2Hg at its relaxed geometry at the PBE level of DFT.

Geometry as extended XYZ:
```
8
Lattice="2.6908 1.5535 8.8589 -2.6908 1.5535 8.8589 0.0000 -3.1071 8.8589" Properties=species:S:1:pos:R:3 pbc="T T T"
La 0.0000 0.0000 3.2556
La 0.0000 0.0000 9.9095
La 0.0000 0.0000 16.6673
La 0.0000 0.0000 23.3213
Al 0.0000 0.0000 0.0000
Zn 0.0000 0.0000 6.6826
Zn 0.0000 0.0000 19.8942
Hg 0.0000 0.0000 13.2884
```

DFT formation energy = -367 meV/atom
Space-group type = No. 166
Calculated total energy = -3.6551 eV per atom
M_tot = 0.00 Bohr magnetons per cell


4.
Computed, not measured: crystalline LaZr2AlHg at its relaxed geometry at the PBE level of DFT.

Geometry as extended XYZ:
```
5
Lattice="5.1281 0.0000 0.0000 0.0000 5.1281 0.0000 0.0000 0.0000 5.5406" Properties=species:S:1:pos:R:3 pbc="T T T"
La 0.0000 0.0000 0.0000
Zr 0.0000 2.5641 2.7703
Zr 2.5641 0.0000 2.7703
Al 0.0000 0.0000 2.7703
Hg 2.5641 2.5641 0.0000
```

DFT formation energy = 477 meV/atom
Space-group type = No. 123
Calculated total energy = -4.7369 eV per atom
M_tot = 0.00 Bohr magnetons per cell